[1]
Entry from the Alexandria database: a relaxed AlNiAg3 crystal (PBE).

It has space group Pm-3m (No. 221), with a = 4.745 Å, b = 4.745 Å, c = 4.745 Å, α = 90.00°, β = 90.00° and γ = 90.00°. The inequivalent atoms are Al at (0.000, 0.000, 0.000), Ni at (0.500, 0.500, 0.500) and Ag at (0.000, 0.000, 0.500).

Its energy of formation from the pure elements is 890 meV/atom. As for the magnetic moment: 0.0 μB/cell. The density of states at the Fermi level comes out at 2.9 states/eV/f.u. The mass density comes out at 6363 kg/m3.

***

[2]
Entry from the Alexandria database: a relaxed Fe4C crystal (PBE).

It has space group R-3m (No. 166, hexagonal axes), with a = 2.7498 Å, b = 2.7498 Å, c = 24.6118 Å, α = 90.00°, β = 90.00° and γ = 120.00°. The inequivalent atoms are Fe at (0.0000, 0.0000, 0.1226), Fe at (0.0000, 0.0000, 0.2939) and C at (0.0000, 0.0000, 0.5000).

Its energy of formation from the pure elements is 171 meV/atom. As for the magnetic moment: 26.4 μB/cell. The density of states at the Fermi level comes out at 3.8 states/eV/f.u. The mass density comes out at 7276 kg/m3.

***

[3]
Entry from the Alexandria database: a relaxed Li2Si2Ag3 crystal (PBE).

It has space group C2/m (No. 12), with a = 9.772 Å, b = 4.414 Å, c = 6.010 Å, α = 90.00°, β = 109.06° and γ = 90.00°. The inequivalent atoms are Li at (0.121, 0.000, 0.370), Si at (0.106, 0.500, 0.662), Ag at (0.000, 0.500, 0.000) and Ag at (0.175, 0.000, 0.870).

As for the magnetic moment: 0.0 μB/cell. The energy relative to the elements, uncorrected comes out at -60 kJ/mol of formula units. The density of states at the Fermi level comes out at 1.1 states/eV/f.u. The mass density comes out at 5335 kg/m3.

***

> What is the magnetic moment in the second record?

26.4 μB/cell